No. 1
# ZnCd2Pb | Alexandria via LeMat-Bulk | PBE | relaxed
# relative energy among the computed polymorphs: 0.0232 eV/atom
# energy relative to the elements: 0.0977 eV/atom
data_ZnCd2Pb
_chemical_formula_sum 'Zn2 Cd4 Pb2'
_space_group_name_H-M_alt 'C 1 m 1'
_space_group_IT_number 8
_cell_length_a 9.3086
_cell_length_b 3.4927
_cell_length_c 6.0716
_cell_angle_alpha 90.00
_cell_angle_beta 102.72
_cell_angle_gamma 90.00
loop_
_space_group_symop_operation_xyz
'x,y,z'
'x,-y,z'
'x+1/2,y+1/2,z'
'x+1/2,-y+1/2,z'
loop_
_atom_site_label
_atom_site_fract_x
_atom_site_fract_y
_atom_site_fract_z
_atom_site_occupancy
Zn1 0.0000 0.0000 0.0000 1
Cd1 0.0110 0.5000 0.5786 1
Cd2 0.2622 0.0000 0.8119 1
Pb1 0.2482 0.5000 0.2774 1


No. 2
# Zn2CdPb | Alexandria via LeMat-Bulk | PBE | relaxed
# relative energy among the computed polymorphs: 0.0634 eV/atom
# energy relative to the elements: 0.1724 eV/atom
data_Zn2CdPb
_chemical_formula_sum 'Zn6 Cd3 Pb3'
_space_group_name_H-M_alt 'R -3 m'
_space_group_IT_number 166
_space_group_name_Hall '-R 3 2"'
_cell_length_a 3.3168
_cell_length_b 3.3168
_cell_length_c 28.4556
_cell_angle_alpha 90.00
_cell_angle_beta 90.00
_cell_angle_gamma 120.00
loop_
_atom_site_label
_atom_site_fract_x
_atom_site_fract_y
_atom_site_fract_z
_atom_site_occupancy
Zn1 0.0000 0.0000 0.2409 1
Cd1 0.0000 0.0000 0.5000 1
Pb1 0.0000 0.0000 0.0000 1


no.,total DFT energy (no corrections) (eV/f.u.)
1,-6.4
2,-6.5